# 1
Compound: ScIrSCl2
Source: the Alexandria database
Functional: PBEsol
Structure: relaxed

```
ScIrSCl2
1.0
-4.069 -2.252 -0.294
1.556 -2.326 -3.727
1.663 -3.369 2.797
Sc S Ir Cl
1 1 1 2
Direct
0.500 0.500 0.500 Sc
0.000 0.000 0.500 S
0.000 0.000 0.000 Ir
0.000 0.500 0.000 Cl
0.500 0.000 0.000 Cl
```

Its uncorrected formation energy is -14.6 kJ/mol of atoms. Its space group is P4/mmm, No. 123.


# 2
Compound: MnI2N
Source: the Alexandria database
Functional: PBEsol
Structure: relaxed

```
MnI2N
1.0
5.146 0.000 0.000
2.573 4.457 0.000
2.573 1.486 4.202
I Mn N
2 1 1
Direct
0.250 0.250 0.250 I
0.750 0.750 0.750 I
0.500 0.500 0.500 Mn
0.000 0.000 0.000 N
```

Its uncorrected formation energy is 131.5 kJ/mol of atoms. Its space group is Fm-3m, No. 225.


# 3
Compound: K3Cu
Source: the Alexandria database
Functional: PBEsol
Structure: relaxed

```
K3Cu
1.0
4.393 0.000 0.000
-1.464 6.863 0.000
-1.464 -3.431 5.943
Cu K
1 3
Direct
0.000 0.000 0.000 Cu
0.000 0.500 0.500 K
0.500 0.000 0.500 K
0.500 0.500 0.000 K
```

The calculation puts the formation energy at 0.502 eV per atom. Its space group is R-3m, No. 166.


# 4
Compound: K3Cu2H7
Source: the Alexandria database
Functional: PBEsol
Structure: relaxed

```
K3Cu2H7
1.0
3.721 0.000 0.000
0.000 3.721 0.000
-1.860 -1.860 10.113
H K Cu
7 3 2
Direct
0.087 0.587 0.175 H
0.587 0.087 0.175 H
0.913 0.413 0.825 H
0.413 0.913 0.825 H
0.000 0.000 0.000 H
0.828 0.828 0.656 H
0.172 0.172 0.344 H
0.679 0.679 0.358 K
0.321 0.321 0.642 K
0.500 0.500 0.000 K
0.911 0.911 0.822 Cu
0.089 0.089 0.178 Cu
```

Its space group is I4/mmm, No. 139. The calculation puts the raw total energy at -35.62 eV for the cell shown.